Entry 1:
A relaxed structure of CaPmNiIr, computed with PBE.

Cell lengths 6.9144, 6.9144, 6.9144 Å; angles 90.00, 90.00, 90.00 degrees
Fractional coordinates of all 16 atoms:
Ca (0.0000, 0.0000, 0.0000)
Ca (0.0000, 0.5000, 0.5000)
Ca (0.5000, 0.0000, 0.5000)
Ca (0.5000, 0.5000, 0.0000)
Pm (0.0000, 0.0000, 0.5000)
Pm (0.0000, 0.5000, 0.0000)
Pm (0.5000, 0.0000, 0.0000)
Pm (0.5000, 0.5000, 0.5000)
Ni (0.2500, 0.2500, 0.7500)
Ni (0.2500, 0.7500, 0.2500)
Ni (0.7500, 0.2500, 0.2500)
Ni (0.7500, 0.7500, 0.7500)
Ir (0.2500, 0.2500, 0.2500)
Ir (0.2500, 0.7500, 0.7500)
Ir (0.7500, 0.2500, 0.7500)
Ir (0.7500, 0.7500, 0.2500)

## Properties
ΔH_f (0 K), eV/f.u.: -1.27
Total magnetic moment, μB per formula unit: 0.0

---

Entry 2:
A relaxed structure of Ti2InH, computed with PBE.

Cell lengths 5.2636, 5.2636, 9.3096 Å; angles 90.00, 90.00, 90.00 degrees
Fractional coordinates of all 16 atoms:
Ti (0.0000, 0.0000, 0.0000)
Ti (0.0000, 0.5000, 0.0000)
Ti (0.2500, 0.2500, 0.7500)
Ti (0.2500, 0.7500, 0.2500)
Ti (0.5000, 0.0000, 0.5000)
Ti (0.5000, 0.5000, 0.5000)
Ti (0.7500, 0.2500, 0.7500)
Ti (0.7500, 0.7500, 0.2500)
In (0.0000, 0.2500, 0.3750)
In (0.0000, 0.7500, 0.6250)
In (0.5000, 0.2500, 0.1250)
In (0.5000, 0.7500, 0.8750)
H (0.0000, 0.2500, 0.8750)
H (0.0000, 0.7500, 0.1250)
H (0.5000, 0.2500, 0.6250)
H (0.5000, 0.7500, 0.3750)

## Properties
Total magnetic moment, μB per formula unit: 0.0

---

Entry 3:
A relaxed structure of Ce2HfSn, computed with PBE.

Cell lengths 4.4442, 4.4442, 4.9948 Å; angles 90.00, 90.00, 90.00 degrees
Fractional coordinates of all 4 atoms:
Ce (0.0000, 0.5000, 0.0000)
Ce (0.5000, 0.0000, 0.0000)
Hf (0.0000, 0.0000, 0.5000)
Sn (0.5000, 0.5000, 0.5000)

## Properties
ΔH_f (0 K), eV/f.u.: -1.22
Total magnetic moment, μB per formula unit: 0.0

---

Number 1: VASP energy -22.665 eV/f.u.. Number 2: VASP energy -21.870 eV/f.u.. Number 3: VASP energy -27.043 eV/f.u..